The following is a PBEsol calculation of crystalline Al4ZnRh at its relaxed geometry, from the Alexandria database.

- Total moment: 0.00 μB/atom
- Energy relative to the elements: 0.064 eV/atom
- Density of states at the Fermi level: 0.406 states/eV per atom
- Crystal system: cubic

The structure in CIF format:
```
data_Al4ZnRh
_chemical_formula_sum 'Al16 Zn4 Rh4'
_cell_length_a 7.153
_cell_length_b 7.153
_cell_length_c 7.153
_cell_angle_alpha 90.00
_cell_angle_beta 90.00
_cell_angle_gamma 90.00
_symmetry_space_group_name_H-M 'F -4 3 m'
_symmetry_Int_Tables_number 216
_symmetry_space_group_name_Hall 'F -4 2 3'
loop_
_atom_site_label
_atom_site_fract_x
_atom_site_fract_y
_atom_site_fract_z
_atom_site_occupancy
Al1 0.125 0.125 0.125 1
Zn1 0.000 0.000 0.500 1
Rh1 0.250 0.250 0.750 1
```

=====

The following is a PBEsol calculation of crystalline ZrAlRh2 at its relaxed geometry, from the Alexandria database.

- Total moment: 0.00 μB/atom
- Energy relative to the elements: -0.843 eV/atom
- Density of states at the Fermi level: 0.342 states/eV per atom
- Crystal system: tetragonal

The structure in CIF format:
```
data_ZrAlRh2
_chemical_formula_sum 'Zr2 Al2 Rh4'
_cell_length_a 3.727
_cell_length_b 3.727
_cell_length_c 8.815
_cell_angle_alpha 90.00
_cell_angle_beta 90.00
_cell_angle_gamma 90.00
_symmetry_space_group_name_H-M 'I -4 m 2'
_symmetry_Int_Tables_number 119
_symmetry_space_group_name_Hall 'I -4 -2'
loop_
_atom_site_label
_atom_site_fract_x
_atom_site_fract_y
_atom_site_fract_z
_atom_site_occupancy
Zr1 0.000 0.000 0.000 1
Al1 0.000 0.500 0.250 1
Rh1 0.000 0.000 0.500 1
Rh2 0.000 0.500 0.750 1
```